1.
Density functional theory data (PBEsol) for crystalline SiHgTe2 at its relaxed geometry.

It has space group Cm (No. 8), with a = 13.5187 Å, b = 3.8339 Å, c = 4.1438 Å, α = 90.00°, β = 91.04° and γ = 90.00°. The distinct sites, in fractional coordinates, are Si at (0.0000, 0.0000, 0.0000), Hg at (0.2710, 0.5000, 0.4333), Te at (0.0612, 0.5000, 0.4556) and Te at (0.3412, 0.0000, 0.9358).

The calculation puts the polymorph energy (0 for the lowest one) at 0.162 eV/atom. As for the raw formation energy: 0.17 eV/atom.

2.
Density functional theory data (PBEsol) for crystalline LaPtSe at its relaxed geometry.

It has space group P-6m2 (No. 187), with a = 4.3788 Å, b = 4.3788 Å, c = 3.9345 Å, α = 90.00°, β = 90.00° and γ = 120.00°. The distinct sites, in fractional coordinates, are La at (0.0000, 0.0000, 0.0000), Pt at (0.3333, 0.6667, 0.5000) and Se at (0.6667, 0.3333, 0.5000).

The calculation puts the polymorph energy (0 for the lowest one) at 0.000 eV/atom. As for the raw formation energy: -1.27 eV/atom.

3.
Density functional theory data (PBEsol) for crystalline MnIn2Cl at its relaxed geometry.

It has space group Fm-3m (No. 225), with a = 7.1097 Å, b = 7.1097 Å, c = 7.1097 Å, α = 90.00°, β = 90.00° and γ = 90.00°. The distinct sites, in fractional coordinates, are Mn at (0.0000, 0.0000, 0.0000), In at (0.2500, 0.2500, 0.2500) and Cl at (0.0000, 0.0000, 0.5000).

The calculation puts the polymorph energy (0 for the lowest one) at 0.286 eV/atom. As for the raw formation energy: 0.29 eV/atom.

4.
Density functional theory data (PBEsol) for crystalline BaPPd2Br at its relaxed geometry.

It has space group P4/mmm (No. 123), with a = 5.4065 Å, b = 5.4065 Å, c = 5.8685 Å, α = 90.00°, β = 90.00° and γ = 90.00°. The distinct sites, in fractional coordinates, are Ba at (0.0000, 0.0000, 0.0000), P at (0.5000, 0.5000, 0.5000), Pd at (0.0000, 0.5000, 0.0000) and Br at (0.0000, 0.0000, 0.5000).

As for the raw formation energy: 1.08 eV/atom.

Number 1: total DFT energy (no corrections) -3.17 eV per atom. Number 2: total DFT energy (no corrections) -6.66 eV per atom. Number 3: total DFT energy (no corrections) -4.14 eV per atom. Number 4: total DFT energy (no corrections) -3.27 eV per atom.